Record 1
Below is an optimized crystal structure of Be3BRh4, with properties calculated at the PBE-GGA level.

Results
Formation energy from the elements in eV per atom: -0.542
Total magnetization in μB/cell: 0.0
Electronic total energy in eV per atom: -6.450

Lattice parameters (Å, degrees): 6.184 6.183 3.896 71.65 71.62 36.72
Fractional positions:
Be 0.000 0.000 0.000
Be 0.246 0.246 0.754
Be 0.754 0.754 0.246
B 0.500 0.500 0.500
Rh 0.122 0.122 0.378
Rh 0.378 0.378 0.122
Rh 0.622 0.622 0.878
Rh 0.878 0.878 0.622

---

Record 2
Below is an optimized crystal structure of BeBRh2, with properties calculated at the PBE-GGA level.

Results
Formation energy from the elements in eV per atom: -0.413
Energy above the lowest structure with this stoichiometry in eV/f.u.: 0.007
Total magnetization in μB/cell: 0.0
Electronic total energy in eV per atom: -6.689

Lattice parameters (Å, degrees): 5.470 5.470 5.470 90.00 90.00 90.00
Fractional positions:
Be 0.000 0.000 0.000
Be 0.000 0.500 0.500
Be 0.500 0.000 0.500
Be 0.500 0.500 0.000
B 0.000 0.000 0.500
B 0.000 0.500 0.000
B 0.500 0.000 0.000
B 0.500 0.500 0.500
Rh 0.250 0.250 0.250
Rh 0.250 0.250 0.750
Rh 0.250 0.750 0.250
Rh 0.250 0.750 0.750
Rh 0.750 0.250 0.250
Rh 0.750 0.250 0.750
Rh 0.750 0.750 0.250
Rh 0.750 0.750 0.750

---

Record 3
Below is an optimized crystal structure of Be5BRh6, with properties calculated at the PBE-GGA level.

Results
Formation energy from the elements in eV per atom: -0.565
Total magnetization in μB/cell: 0.0
Electronic total energy in eV per atom: -6.350

Lattice parameters (Å, degrees): 6.191 6.191 5.549 90.00 90.00 143.19
Fractional positions:
Be 0.000 0.000 0.000
Be 0.326 0.674 0.500
Be 0.334 0.666 0.000
Be 0.666 0.334 0.000
Be 0.674 0.326 0.500
B 0.000 0.000 0.500
Rh 0.163 0.837 0.253
Rh 0.163 0.837 0.747
Rh 0.500 0.500 0.259
Rh 0.500 0.500 0.741
Rh 0.837 0.163 0.253
Rh 0.837 0.163 0.747

---

Record 4
Below is an optimized crystal structure of BeB2Rh, with properties calculated at the PBE-GGA level.

Results
Formation energy from the elements in eV per atom: 0.771
Total magnetization in μB/cell: 0.0
Electronic total energy in eV per atom: -5.337

Lattice parameters (Å, degrees): 4.888 4.888 8.055 90.00 90.00 90.00
Fractional positions:
Be 0.000 0.000 0.000
Be 0.000 0.500 0.250
Be 0.500 0.000 0.750
Be 0.500 0.500 0.500
B 0.249 0.250 0.125
B 0.250 0.749 0.375
B 0.250 0.751 0.875
B 0.251 0.250 0.625
B 0.749 0.750 0.625
B 0.750 0.249 0.875
B 0.750 0.251 0.375
B 0.751 0.750 0.125
Rh 0.000 0.000 0.500
Rh 0.000 0.500 0.750
Rh 0.500 0.000 0.250
Rh 0.500 0.500 0.000

---

Record 5
Below is an optimized crystal structure of Be3BRh6, with properties calculated at the PBE-GGA level.

Results
Formation energy from the elements in eV per atom: -0.348
Total magnetization in μB/cell: 0.0
Electronic total energy in eV per atom: -6.544

Lattice parameters (Å, degrees): 7.295 3.780 9.113 90.00 112.71 90.00
Fractional positions:
Be 0.125 0.250 0.273
Be 0.243 0.250 0.015
Be 0.346 0.750 0.396
Be 0.654 0.250 0.604
Be 0.757 0.750 0.985
Be 0.875 0.750 0.727
B 0.220 0.750 0.618
B 0.780 0.250 0.382
Rh 0.012 0.750 0.382
Rh 0.118 0.750 0.120
Rh 0.204 0.750 0.841
Rh 0.307 0.250 0.546
Rh 0.438 0.250 0.288
Rh 0.483 0.250 0.889
Rh 0.517 0.750 0.111
Rh 0.562 0.750 0.712
Rh 0.693 0.750 0.454
Rh 0.796 0.250 0.159
Rh 0.882 0.250 0.880
Rh 0.988 0.250 0.618

---

Record 6
Below is an optimized crystal structure of Be2BRh2, with properties calculated at the PBE-GGA level.

Results
Formation energy from the elements in eV per atom: -0.404
Total magnetization in μB/cell: 0.0
Electronic total energy in eV per atom: -6.170

Lattice parameters (Å, degrees): 5.617 5.617 3.472 90.00 90.00 90.00
Fractional positions:
Be 0.141 0.359 0.000
Be 0.359 0.859 0.000
Be 0.641 0.141 0.000
Be 0.859 0.641 0.000
B 0.000 0.000 0.500
B 0.500 0.500 0.500
Rh 0.168 0.668 0.500
Rh 0.332 0.168 0.500
Rh 0.668 0.832 0.500
Rh 0.832 0.332 0.500

---

Record 7
Below is an optimized crystal structure of Be2BRh5, with properties calculated at the PBE-GGA level.

Results
Formation energy from the elements in eV per atom: -0.359
Total magnetization in μB/cell: 0.0
Electronic total energy in eV per atom: -6.720

Lattice parameters (Å, degrees): 7.385 9.053 2.811 90.00 90.00 90.00
Fractional positions:
Be 0.126 0.179 0.000
Be 0.374 0.679 0.000
Be 0.626 0.321 0.000
Be 0.874 0.821 0.000
B 0.000 0.500 0.500
B 0.500 0.000 0.500
Rh 0.000 0.000 0.500
Rh 0.108 0.710 0.500
Rh 0.201 0.429 0.000
Rh 0.299 0.929 0.000
Rh 0.392 0.210 0.500
Rh 0.500 0.500 0.500
Rh 0.608 0.790 0.500
Rh 0.701 0.071 0.000
Rh 0.799 0.571 0.000
Rh 0.892 0.290 0.500

---

Record 8
Below is an optimized crystal structure of Be3BRh, with properties calculated at the PBE-GGA level.

Results
Formation energy from the elements in eV per atom: 1.176
Energy above the lowest structure with this stoichiometry in eV/f.u.: 5.529
Total magnetization in μB/cell: 0.0
Electronic total energy in eV per atom: -3.866

Lattice parameters (Å, degrees): 4.129 4.129 4.129 90.00 90.00 90.00
Fractional positions:
Be 0.000 0.000 0.500
Be 0.000 0.500 0.000
Be 0.500 0.000 0.000
B 0.500 0.500 0.500
Rh 0.000 0.000 0.000

---

Record 9
Below is an optimized crystal structure of BeBRh2, with properties calculated at the PBE-GGA level.

Results
Formation energy from the elements in eV per atom: -0.414
Energy above the lowest structure with this stoichiometry in eV/f.u.: 0.000
Total magnetization in μB/cell: 0.0
Electronic total energy in eV per atom: -6.691

Lattice parameters (Å, degrees): 3.861 3.861 2.745 90.00 90.00 90.00
Fractional positions:
Be 0.000 0.000 0.000
B 0.500 0.500 0.000
Rh 0.000 0.500 0.500
Rh 0.500 0.000 0.500

---

Record 10
Below is an optimized crystal structure of BeBRh2, with properties calculated at the PBE-GGA level.

Results
Formation energy from the elements in eV per atom: -0.139
Energy above the lowest structure with this stoichiometry in eV/f.u.: 1.101
Total magnetization in μB/cell: 0.0
Electronic total energy in eV per atom: -6.416

Lattice parameters (Å, degrees): 5.789 5.789 5.519 90.00 90.00 90.00
Fractional positions:
Be 0.000 0.000 0.000
Be 0.000 0.500 0.250
Be 0.500 0.000 0.750
Be 0.500 0.500 0.500
B 0.000 0.000 0.500
B 0.000 0.500 0.750
B 0.500 0.000 0.250
B 0.500 0.500 0.000
Rh 0.214 0.250 0.625
Rh 0.250 0.714 0.875
Rh 0.250 0.786 0.375
Rh 0.286 0.250 0.125
Rh 0.714 0.750 0.125
Rh 0.750 0.214 0.375
Rh 0.750 0.286 0.875
Rh 0.786 0.750 0.625

---

Record 11
Below is an optimized crystal structure of Be3BRh, with properties calculated at the PBE-GGA level.

Results
Formation energy from the elements in eV per atom: 0.070
Energy above the lowest structure with this stoichiometry in eV/f.u.: 0.000
Total magnetization in μB/cell: 0.0
Electronic total energy in eV per atom: -4.972

Lattice parameters (Å, degrees): 3.607 3.607 3.607 90.00 90.00 90.00
Fractional positions:
Be 0.000 0.000 0.500
Be 0.000 0.500 0.000
Be 0.500 0.000 0.000
B 0.000 0.000 0.000
Rh 0.500 0.500 0.500

---

Record 12
Below is an optimized crystal structure of BeBRuRh, with properties calculated at the PBE-GGA level.

Results
Formation energy from the elements in eV per atom: -0.251
Total magnetization in μB/cell: 0.0
Electronic total energy in eV per atom: -7.008

Lattice parameters (Å, degrees): 5.472 5.472 5.472 90.00 90.00 90.00
Fractional positions:
Be 0.000 0.000 0.000
Be 0.000 0.500 0.500
Be 0.500 0.000 0.500
Be 0.500 0.500 0.000
B 0.000 0.000 0.500
B 0.000 0.500 0.000
B 0.500 0.000 0.000
B 0.500 0.500 0.500
Ru 0.250 0.250 0.750
Ru 0.250 0.750 0.250
Ru 0.750 0.250 0.250
Ru 0.750 0.750 0.750
Rh 0.250 0.250 0.250
Rh 0.250 0.750 0.750
Rh 0.750 0.250 0.750
Rh 0.750 0.750 0.250